P | ## Sm2Ho2Te5 (PBE)

Data for an optimized crystal structure of Sm2Ho2Te5.

Values from the calculation:
Fermi-level density of states in states/eV per atom: 0.700

a = 8.2043 Å, b = 8.9488 Å, c = 8.9488 Å
α = 125.46°, β = 90.00°, γ = 90.00°
Sites, in units of the cell vectors:
Te (0.1564, 0.2026, 0.4780)
Te (0.6564, 0.0220, 0.2974)
Te (0.3436, 0.7026, 0.9780)
Te (0.8436, 0.7974, 0.5220)
Te (0.3436, 0.9780, 0.7026)
Te (0.0000, 0.0000, 0.0000)
Te (0.6564, 0.2974, 0.0220)
Te (0.1564, 0.4780, 0.2026)
Te (0.5000, 0.5000, 0.5000)
Te (0.8436, 0.5220, 0.7974)
Ho (0.3510, 0.1449, 0.1449)
Ho (0.1490, 0.6449, 0.6449)
Ho (0.8510, 0.3551, 0.3551)
Ho (0.6490, 0.8551, 0.8551)
Sm (0.5000, 0.6973, 0.3027)
Sm (0.0000, 0.1973, 0.8027)
Sm (0.0000, 0.8027, 0.1973)
Sm (0.5000, 0.3027, 0.6973)



Q | ## Sm2Ho2Te5 (PBE)

Data for an optimized crystal structure of Sm2Ho2Te5.

Values from the calculation:
Fermi-level density of states in states/eV per atom: 0.557

a = 5.8615 Å, b = 8.8574 Å, c = 6.2242 Å
α = 109.97°, β = 90.00°, γ = 109.32°
Sites, in units of the cell vectors:
Te (0.1901, 0.3802, 0.4971)
Te (0.3763, 0.7527, 0.1548)
Te (0.6237, 0.2473, 0.8452)
Te (0.0000, 0.0000, 0.0000)
Te (0.8099, 0.6198, 0.5029)
Sm (0.3997, 0.7993, 0.6794)
Sm (0.6003, 0.2007, 0.3206)
Ho (0.1748, 0.3497, 0.9831)
Ho (0.8252, 0.6503, 0.0169)



Unit: meV per atom. Relative energies: P 0; Q 99.



P | ## SmHo2Te4 (PBE)

Data for an optimized crystal structure of SmHo2Te4.

Values from the calculation:
Fermi-level density of states in states/eV per atom: 0.398

a = 4.2678 Å, b = 7.4626 Å, c = 14.9463 Å
α = 90.00°, β = 90.00°, γ = 106.62°
Sites, in units of the cell vectors:
Te (0.5000, 0.0000, 0.0000)
Te (0.2234, 0.4467, 0.8795)
Te (0.9638, 0.9276, 0.7500)
Te (0.5000, 0.0000, 0.5000)
Te (0.2234, 0.4467, 0.6205)
Te (0.0362, 0.0724, 0.2500)
Te (0.7766, 0.5533, 0.3795)
Te (0.7766, 0.5533, 0.1205)
Ho (0.1313, 0.2625, 0.0687)
Ho (0.1313, 0.2625, 0.4313)
Ho (0.8687, 0.7375, 0.9313)
Ho (0.8687, 0.7375, 0.5687)
Sm (0.3732, 0.7464, 0.2500)
Sm (0.6268, 0.2536, 0.7500)



Q | ## SmHo2Te4 (PBE)

Data for an optimized crystal structure of SmHo2Te4.

Values from the calculation:
Fermi-level density of states in states/eV per atom: 0.441

a = 4.3592 Å, b = 7.5664 Å, c = 8.5675 Å
α = 116.57°, β = 104.74°, γ = 90.00°
Sites, in units of the cell vectors:
Ho (0.7449, 0.7584, 0.4897)
Ho (0.2551, 0.2416, 0.5103)
Te (0.6325, 0.2955, 0.2649)
Te (0.3675, 0.7045, 0.7351)
Te (0.8757, 0.2097, 0.7515)
Te (0.1243, 0.7903, 0.2485)
Sm (0.0000, 0.0000, 0.0000)



Unit: meV per atom. Relative energies: P 25; Q 0.



P | ## Sm2HoTe (PBE)

Data for an optimized crystal structure of Sm2HoTe.

Values from the calculation:
Fermi-level density of states in states/eV per atom: 1.242

a = 3.9401 Å, b = 3.9401 Å, c = 7.8828 Å
α = 90.00°, β = 90.00°, γ = 90.00°
Sites, in units of the cell vectors:
Sm (0.0000, 0.0000, 0.7259)
Sm (0.0000, 0.0000, 0.2741)
Ho (0.5000, 0.5000, 0.0000)
Te (0.5000, 0.5000, 0.5000)



Q | ## Sm2HoTe (PBE)

Data for an optimized crystal structure of Sm2HoTe.

Values from the calculation:
Fermi-level density of states in states/eV per atom: 1.048

a = 3.9101 Å, b = 3.9101 Å, c = 10.2840 Å
α = 79.04°, β = 79.04°, γ = 60.00°
Sites, in units of the cell vectors:
Te (0.0000, 0.0000, 0.0000)
Sm (0.2609, 0.2609, 0.2174)
Sm (0.7391, 0.7391, 0.7826)
Ho (0.5000, 0.5000, 0.5000)



R | ## Sm2HoTe (PBE)

Data for an optimized crystal structure of Sm2HoTe.

Values from the calculation:
Fermi-level density of states in states/eV per atom: 1.048

a = 3.8362 Å, b = 5.5643 Å, c = 5.5643 Å
α = 90.00°, β = 90.00°, γ = 90.00°
Sites, in units of the cell vectors:
Ho (0.5000, 0.5000, 0.5000)
Te (0.5000, 0.0000, 0.0000)
Sm (0.0000, 0.0000, 0.5000)
Sm (0.0000, 0.5000, 0.0000)



S | ## Sm2HoTe (PBE)

Data for an optimized crystal structure of Sm2HoTe.

Values from the calculation:
Fermi-level density of states in states/eV per atom: 1.235

a = 3.9538 Å, b = 3.9538 Å, c = 10.0769 Å
α = 78.69°, β = 78.69°, γ = 60.00°
Last column: magnetic moment on the atom in μB.
Sites, in units of the cell vectors:
Ho (0.4997, 0.4997, 0.5009)  0.07
Sm (0.2607, 0.2607, 0.2179)  0.01
Sm (0.0728, 0.0728, 0.7816)  0.02
Te (0.6668, 0.6668, 0.9996)  0.00



Unit: meV per atom. Relative energies: P 0; Q 49; R 105; S 30.



P | ## Sm3Ho2Th2 (PBE)

Data for an optimized crystal structure of Sm3Ho2Th2.

Values from the calculation:
Fermi-level density of states in states/eV per atom: 1.563

a = 3.4716 Å, b = 8.6483 Å, c = 8.9771 Å
α = 119.28°, β = 101.15°, γ = 90.00°
Sites, in units of the cell vectors:
Th (0.8488, 0.6583, 0.6976)
Th (0.1512, 0.3417, 0.3024)
Ho (0.5631, 0.9074, 0.1263)
Ho (0.4369, 0.0926, 0.8737)
Sm (0.2151, 0.7957, 0.4303)
Sm (0.0000, 0.5000, 0.0000)
Sm (0.7849, 0.2043, 0.5697)



Q | ## Sm3Ho2Th2 (PBE)

Data for an optimized crystal structure of Sm3Ho2Th2.

Values from the calculation:
Fermi-level density of states in states/eV per atom: 1.428

a = 3.6030 Å, b = 11.3431 Å, c = 6.1739 Å
α = 79.63°, β = 72.94°, γ = 71.49°
Sites, in units of the cell vectors:
Th (0.8569, 0.8599, 0.5671)
Th (0.1431, 0.1401, 0.4329)
Sm (0.5666, 0.5761, 0.7152)
Sm (0.4334, 0.4239, 0.2848)
Sm (0.0000, 0.0000, 0.0000)
Ho (0.7089, 0.7176, 0.1472)
Ho (0.2911, 0.2824, 0.8528)



Unit: meV per atom. Relative energies: P 104; Q 0.